A geometry-optimized ZrVGe2 structure, computed with PBE-GGA.

abc: 4.6022 4.6022 4.6022
angles: 60.00 60.00 60.00
Last column: magnetic moment on the atom in μB.
Atoms (fractional coordinates):
Ge  0.2500  0.2500  0.2500  -0.03
Ge  0.7500  0.7500  0.7500  -0.03
V  0.0000  0.0000  0.0000  1.61
Zr  0.5000  0.5000  0.5000  -0.23

Summary:
Space-group type   No. 225
Energy relative to the lowest polymorph listed for this composition   0.186 eV/atom
D(E_F)   4.234 states/eV/cell
Energy of formation from the pure elements   -0.15 eV/atom